Entry 1:
Computed, not measured: a geometry-optimized KAlF4 structure at the PBEsol level of DFT.

```
KAlF4
1.0
8.260 0.000 0.000
0.000 7.287 0.000
0.000 0.000 11.809
K Al F
8 8 32
Cartesian
0.569 1.822 1.220
1.076 1.822 8.832
3.054 5.465 2.928
3.561 5.465 7.124
4.699 1.822 4.685
5.206 1.822 8.881
7.184 5.465 2.977
7.691 5.465 10.589
1.081 0.020 4.917
1.081 3.624 4.917
3.049 3.663 10.821
3.049 7.267 10.821
5.211 0.020 0.988
5.211 3.624 0.988
7.179 3.663 6.892
7.179 7.267 6.892
0.802 3.695 6.762
0.802 7.236 6.762
0.935 5.465 4.910
0.991 3.651 3.161
0.991 7.280 3.161
1.130 1.822 4.999
1.309 0.119 10.969
1.309 3.524 10.969
2.821 3.763 5.065
2.821 7.168 5.065
3.000 5.465 10.904
3.140 0.007 9.066
3.140 3.636 9.066
3.195 1.822 10.814
3.328 0.051 0.858
3.328 3.592 0.858
4.932 3.695 10.951
4.932 7.236 10.951
5.065 5.465 0.995
5.121 3.651 2.743
5.121 7.280 2.743
5.260 1.822 0.905
5.439 0.119 6.744
5.439 3.524 6.744
6.951 3.763 0.839
6.951 7.168 0.839
7.130 5.465 6.810
7.270 0.007 8.648
7.270 3.636 8.648
7.325 1.822 6.899
7.458 0.051 5.047
7.458 3.592 5.047
```

Results
**Crystal system**: orthorhombic
**Calculated total energy**: -5.541 eV/atom
**Size of the total moment**: 0.015 μB/atom
**Energy relative to the elements, uncorrected**: -3.386 eV/atom

=====

Entry 2:
Computed, not measured: a geometry-optimized BeCdFe structure at the PBEsol level of DFT.

```
BeCdFe
1.0
4.090 0.000 0.000
-2.045 3.542 0.000
0.000 0.000 2.692
Be Cd Fe
1 1 1
Cartesian
0.000 0.000 0.000
0.000 2.361 0.529
2.045 1.181 1.782
```

Results
**Crystal system**: trigonal
**ΔE to the lowest computed polymorph**: 0 meV per atom
**Calculated total energy**: -4.306 eV/atom
**Energy of formation from the pure elements**: 1.24 eV/f.u.
**Size of the total moment**: 0.702 μB/atom

=====

Entry 3:
Computed, not measured: a geometry-optimized BaIn2Co structure at the PBEsol level of DFT.

```
BaIn2Co
1.0
2.756 -4.639 0.000
2.756 4.639 0.000
0.000 0.000 4.034
Ba In Co
1 2 1
Cartesian
0.000 0.000 0.000
2.756 1.578 2.017
2.756 -1.578 2.017
2.756 0.000 0.000
```

Results
**Crystal system**: orthorhombic
**Calculated total energy**: -3.950 eV/atom
**Energy of formation from the pure elements**: 0.05 eV/f.u.
**Size of the total moment**: 0.097 μB/atom

=====

Entry 4:
Computed, not measured: a geometry-optimized Cs3GaRe structure at the PBEsol level of DFT.

```
Cs3GaRe
1.0
5.915 0.000 0.000
0.000 5.915 0.000
0.000 0.000 5.915
Cs Ga Re
3 1 1
Cartesian
0.000 0.000 2.958
0.000 2.958 0.000
2.958 0.000 0.000
2.958 2.958 2.958
0.000 0.000 0.000
```

Results
**Crystal system**: cubic
**Calculated total energy**: -2.316 eV/atom
**Energy of formation from the pure elements**: 7.92 eV/f.u.
**Size of the total moment**: 0.271 μB/atom

=====

Entry 5:
Computed, not measured: a geometry-optimized SiGeBN2 structure at the PBEsol level of DFT.

```
SiGeBN2
1.0
3.559 0.000 0.000
0.000 3.559 0.000
0.000 0.000 5.416
Si Ge B N
1 1 1 2
Cartesian
0.000 0.000 0.000
0.000 0.000 2.708
1.780 1.780 0.000
0.000 1.780 2.708
1.780 0.000 2.708
```

Results
**Crystal system**: tetragonal
**Calculated total energy**: -5.117 eV/atom
**Size of the total moment**: 0.000 μB/atom
**Energy relative to the elements, uncorrected**: 1.834 eV/atom

=====

Entry 6:
Computed, not measured: a geometry-optimized Zn2TcAs structure at the PBEsol level of DFT.

```
Zn2TcAs
1.0
-1.669 1.943 4.344
1.669 -1.943 4.344
1.669 1.943 -4.344
Zn Tc As
2 1 1
Cartesian
0.000 0.000 2.148
0.000 0.000 6.540
0.000 1.943 0.000
1.669 0.000 0.000
```

Results
**Crystal system**: orthorhombic
**Calculated total energy**: -4.810 eV/atom
**Energy of formation from the pure elements**: 0.30 eV/f.u.
**Size of the total moment**: 0.000 μB/atom

=====

Entry 7:
Computed, not measured: a geometry-optimized ZrTa2As structure at the PBEsol level of DFT.

```
ZrTa2As
1.0
3.430 0.000 0.000
0.000 3.430 0.000
0.000 0.000 6.060
Zr Ta As
1 2 1
Cartesian
0.000 0.000 0.000
0.000 0.000 2.939
1.715 1.715 4.419
1.715 1.715 1.529
```

Results
**Crystal system**: tetragonal
**Calculated total energy**: -10.162 eV/atom
**Energy of formation from the pure elements**: -1.35 eV/f.u.
**Size of the total moment**: 0.000 μB/atom

=====

Entry 8:
Computed, not measured: a geometry-optimized MgCoP2 structure at the PBEsol level of DFT.

```
MgCoP2
1.0
3.279 -1.651 0.000
3.279 1.651 0.000
-1.526 0.000 5.345
Mg Co P
1 1 2
Cartesian
0.000 0.000 0.000
2.515 0.000 2.672
0.470 0.000 3.590
4.561 0.000 1.755
```

Results
**Crystal system**: monoclinic
**Calculated total energy**: -5.655 eV/atom
**Energy of formation from the pure elements**: -1.58 eV/f.u.
**Size of the total moment**: 0.000 μB/atom

=====

Entry 9:
Computed, not measured: a geometry-optimized K2As2Pb structure at the PBEsol level of DFT.

```
K2As2Pb
1.0
7.533 0.000 0.000
0.000 7.533 0.000
0.000 0.000 5.197
K As Pb
4 4 2
Cartesian
1.342 2.424 0.000
2.424 6.190 0.000
5.109 1.342 0.000
6.190 5.109 0.000
0.856 4.623 2.598
2.910 0.856 2.598
4.623 6.677 2.598
6.677 2.910 2.598
0.000 0.000 2.598
3.766 3.766 2.598
```

Results
**Crystal system**: tetragonal
**Calculated total energy**: -3.597 eV/atom
**Energy of formation from the pure elements**: -1.51 eV/f.u.
**Size of the total moment**: 0.000 μB/atom

=====

Entry 10:
Computed, not measured: a geometry-optimized CaCd structure at the PBEsol level of DFT.

```
CaCd
1.0
3.761 0.000 0.000
0.000 3.761 0.000
0.000 0.000 3.761
Ca Cd
1 1
Cartesian
0.000 0.000 0.000
1.881 1.881 1.881
```

Results
**Crystal system**: cubic
**Calculated total energy**: -2.028 eV/atom
**Energy of formation from the pure elements**: -0.73 eV/f.u.
**Size of the total moment**: 0.000 μB/atom

=====

Entry 11:
Computed, not measured: a geometry-optimized BaCr2Cu structure at the PBEsol level of DFT.

```
BaCr2Cu
1.0
4.499 -1.533 0.000
4.499 1.533 0.000
-1.017 0.000 5.682
Ba Cr Cu
1 2 1
Cartesian
0.000 0.000 0.000
1.345 0.000 3.432
6.636 0.000 2.250
3.990 0.000 2.841
```

Results
**Crystal system**: monoclinic
**ΔE to the lowest computed polymorph**: 0 meV per atom
**Calculated total energy**: -5.946 eV/atom
**Energy of formation from the pure elements**: 3.18 eV/f.u.
**Size of the total moment**: 0.000 μB/atom

=====

Entry 12:
Computed, not measured: a geometry-optimized BaHfHg2Cl structure at the PBEsol level of DFT.

```
BaHfHg2Cl
1.0
5.525 0.000 0.000
0.000 5.525 0.000
0.000 0.000 4.856
Ba Hf Hg Cl
1 1 2 1
Cartesian
0.000 0.000 0.000
2.763 2.763 2.428
0.000 2.763 2.428
2.763 0.000 2.428
2.763 2.763 0.000
```

Results
**Crystal system**: tetragonal
**Calculated total energy**: -3.617 eV/atom
**Size of the total moment**: 0.000 μB/atom
**Energy relative to the elements, uncorrected**: -0.458 eV/atom

=====

Entry 13:
Computed, not measured: a geometry-optimized AsRhCl3 structure at the PBEsol level of DFT.

```
AsRhCl3
1.0
4.644 0.000 0.000
0.000 4.644 0.000
0.000 0.000 4.644
As Rh Cl
1 1 3
Cartesian
0.000 0.000 0.000
2.322 2.322 2.322
0.000 2.322 2.322
2.322 0.000 2.322
2.322 2.322 0.000
```

Results
**Crystal system**: cubic
**Calculated total energy**: -3.658 eV/atom
**Size of the total moment**: 0.000 μB/atom
**Energy relative to the elements, uncorrected**: 0.196 eV/atom

=====

Entry 14:
Computed, not measured: a geometry-optimized Y2TcBr structure at the PBEsol level of DFT.

```
Y2TcBr
1.0
4.045 0.000 0.000
0.000 4.045 0.000
0.000 0.000 5.700
Y Tc Br
2 1 1
Cartesian
0.000 0.000 0.000
2.023 2.023 2.484
2.023 2.023 5.643
0.000 0.000 2.865
```

Results
**Crystal system**: tetragonal
**ΔE to the lowest computed polymorph**: 364 meV per atom
**Calculated total energy**: -6.918 eV/atom
**Size of the total moment**: 0.001 μB/atom
**Energy relative to the elements, uncorrected**: -0.223 eV/atom

=====

Entry 15:
Computed, not measured: a geometry-optimized Nb3Al2N structure at the PBEsol level of DFT.

```
Nb3Al2N
1.0
7.019 0.000 0.000
0.000 7.019 0.000
0.000 0.000 7.019
Nb Al N
12 8 4
Cartesian
0.315 0.877 5.579
0.877 5.579 0.315
1.440 3.824 2.632
2.070 3.195 6.142
2.632 1.440 3.824
3.195 6.142 2.070
3.824 2.632 1.440
4.387 4.950 6.704
4.950 6.704 4.387
5.579 0.315 0.877
6.142 2.070 3.195
6.704 4.387 4.950
0.497 6.522 3.012
1.258 1.258 1.258
2.252 5.762 4.767
3.012 0.497 6.522
4.007 4.007 4.007
4.767 2.252 5.762
5.762 4.767 2.252
6.522 3.012 0.497
0.877 2.632 4.387
2.632 4.387 0.877
4.387 0.877 2.632
6.142 6.142 6.142
```

Results
**Crystal system**: cubic
**Calculated total energy**: -8.941 eV/atom
**Size of the total moment**: 0.000 μB/atom
**Energy relative to the elements, uncorrected**: -0.746 eV/atom

=====

Entry 16:
Computed, not measured: a geometry-optimized Fe3Pb4BrO8 structure at the PBEsol level of DFT.

```
Fe3Pb4BrO8
1.0
3.888 0.000 0.000
0.000 3.888 0.000
0.000 0.000 15.147
Fe Pb Br O
3 4 1 8
Cartesian
0.000 0.000 0.000
0.000 0.000 3.768
0.000 0.000 11.379
1.944 1.944 1.746
1.944 1.944 5.604
1.944 1.944 9.543
1.944 1.944 13.401
0.000 0.000 7.573
0.000 0.000 1.903
0.000 0.000 13.244
0.000 1.944 0.000
0.000 1.944 4.182
0.000 1.944 10.965
1.944 0.000 0.000
1.944 0.000 4.182
1.944 0.000 10.965
```

Results
**Crystal system**: tetragonal
**Calculated total energy**: -6.549 eV/atom
**Size of the total moment**: 0.702 μB/atom
**Energy relative to the elements, uncorrected**: -1.127 eV/atom

=====

Entry 17:
Computed, not measured: a geometry-optimized LaNi3Bi structure at the PBEsol level of DFT.

```
LaNi3Bi
1.0
4.736 0.000 0.000
0.000 4.736 0.000
0.000 0.000 4.736
La Ni Bi
1 3 1
Cartesian
0.000 0.000 0.000
0.000 2.368 2.368
2.368 0.000 2.368
2.368 2.368 0.000
2.368 2.368 2.368
```

Results
**Crystal system**: cubic
**Calculated total energy**: -5.247 eV/atom
**Energy of formation from the pure elements**: 1.87 eV/f.u.
**Size of the total moment**: 0.000 μB/atom

=====

Entry 18:
Computed, not measured: a geometry-optimized BeReHg2 structure at the PBEsol level of DFT.

```
BeReHg2
1.0
5.281 -1.388 0.000
5.281 1.388 0.000
-1.998 0.000 4.498
Be Re Hg
1 1 2
Cartesian
0.000 0.000 0.000
2.005 0.000 3.033
4.802 0.000 2.386
7.881 0.000 0.647
```

Results
**Crystal system**: monoclinic
**Calculated total energy**: -4.017 eV/atom
**Energy of formation from the pure elements**: 2.40 eV/f.u.
**Size of the total moment**: 0.000 μB/atom

=====

Entry 19:
Computed, not measured: a geometry-optimized Ba2SrMnF structure at the PBEsol level of DFT.

```
Ba2SrMnF
1.0
6.659 0.000 0.000
0.000 6.659 0.000
0.000 0.000 4.899
Ba Sr Mn F
2 1 1 1
Cartesian
0.000 3.329 0.000
3.329 0.000 0.000
0.000 0.000 0.000
0.000 0.000 2.450
3.329 3.329 2.450
```

Results
**Crystal system**: tetragonal
**Calculated total energy**: -3.017 eV/atom
**Size of the total moment**: 0.305 μB/atom
**Energy relative to the elements, uncorrected**: 0.549 eV/atom

=====

Entry 20:
Computed, not measured: a geometry-optimized CsZnAg3 structure at the PBEsol level of DFT.

```
CsZnAg3
1.0
5.063 0.000 0.000
0.000 5.063 0.000
0.000 0.000 5.063
Cs Zn Ag
1 1 3
Cartesian
0.000 0.000 0.000
2.532 2.532 2.532
0.000 2.532 2.532
2.532 0.000 2.532
2.532 2.532 0.000
```

Results
**Crystal system**: cubic
**Calculated total energy**: -2.187 eV/atom
**Energy of formation from the pure elements**: 1.52 eV/f.u.
**Size of the total moment**: 0.000 μB/atom

=====

Entry 21:
Computed, not measured: a geometry-optimized Mg3BeBr structure at the PBEsol level of DFT.

```
Mg3BeBr
1.0
4.884 0.000 0.000
0.000 4.884 0.000
0.000 0.000 4.884
Mg Be Br
3 1 1
Cartesian
0.000 0.000 2.442
0.000 2.442 0.000
2.442 0.000 0.000
0.000 0.000 0.000
2.442 2.442 2.442
```

Results
**Crystal system**: cubic
**Calculated total energy**: -2.165 eV/atom
**Size of the total moment**: 0.060 μB/atom
**Energy relative to the elements, uncorrected**: 0.040 eV/atom

=====

Entry 22:
Computed, not measured: a geometry-optimized Ta3HgAs structure at the PBEsol level of DFT.

```
Ta3HgAs
1.0
4.695 0.000 0.000
0.000 4.695 0.000
0.000 0.000 4.695
Ta Hg As
3 1 1
Cartesian
0.000 0.000 2.347
0.000 2.347 0.000
2.347 0.000 0.000
2.347 2.347 2.347
0.000 0.000 0.000
```

Results
**Crystal system**: cubic
**Calculated total energy**: -7.705 eV/atom
**Energy of formation from the pure elements**: 4.80 eV/f.u.
**Size of the total moment**: 0.001 μB/atom

=====

Entry 23:
Computed, not measured: a geometry-optimized La2SnSbPd structure at the PBEsol level of DFT.

```
La2SnSbPd
1.0
5.549 0.000 0.000
0.000 5.549 0.000
0.000 0.000 4.936
La Sn Sb Pd
2 1 1 1
Cartesian
0.000 2.775 0.000
2.775 0.000 0.000
0.000 0.000 2.468
2.775 2.775 2.468
2.775 2.775 0.000
```

Results
**Crystal system**: tetragonal
**Calculated total energy**: -5.569 eV/atom
**Size of the total moment**: 0.000 μB/atom
**Energy relative to the elements, uncorrected**: -0.475 eV/atom

=====

Entry 24:
Computed, not measured: a geometry-optimized BaCd2Au structure at the PBEsol level of DFT.

```
BaCd2Au
1.0
4.189 -2.418 0.000
4.189 2.418 0.000
-2.802 0.000 5.535
Ba Cd Au
1 2 1
Cartesian
0.000 0.000 0.000
-0.007 0.000 3.352
2.787 0.000 2.361
5.580 0.000 2.213
```

Results
**Crystal system**: monoclinic
**Calculated total energy**: -2.497 eV/atom
**Energy of formation from the pure elements**: -1.52 eV/f.u.
**Size of the total moment**: 0.000 μB/atom

=====

Entry 25:
Computed, not measured: a geometry-optimized CaTcO2F structure at the PBEsol level of DFT.

```
CaTcO2F
1.0
3.833 0.000 0.000
0.000 3.833 0.000
0.000 0.000 4.374
Ca Tc O F
1 1 2 1
Cartesian
0.000 0.000 0.000
1.917 1.917 2.187
0.000 1.917 2.187
1.917 0.000 2.187
1.917 1.917 0.000
```

Results
**Crystal system**: tetragonal
**Calculated total energy**: -7.062 eV/atom
**Size of the total moment**: 0.000 μB/atom
**Energy relative to the elements, uncorrected**: -1.897 eV/atom